VASP calculation (GGA-PBE) on a geometry-optimized TbAu12 structure.

```
TbAu12
1.0
8.064 0.000 0.000
4.032 6.984 0.000
4.032 2.328 6.584
Au Tb
12 1
Direct
0.161 0.839 0.500
0.500 0.500 0.839
0.839 0.161 0.500
0.839 0.500 0.500
0.500 0.161 0.839
0.839 0.500 0.161
0.500 0.161 0.500
0.161 0.500 0.839
0.500 0.839 0.161
0.500 0.500 0.161
0.500 0.839 0.500
0.161 0.500 0.500
0.000 0.000 0.000
```

ρ   11.3 g/cm³
Magnetization   0.0 μB/f.u.
Density of states at the Fermi level   0.82 states/eV per atom
Energy of formation   0.519 eV/atom